Here is an optimized crystal structure of GeAs2CS from Alexandria via LeMat-Bulk. Energies are from PBE-GGA.

Computed properties:
The formation energy (no corrections) is 2.00 eV per atom.

Unit cell a=4.979 b=4.979 c=4.581 alpha=90.00 beta=90.00 gamma=90.00
Space group P4/mmm (No. 123)
Inequivalent atoms, fractional coordinates:
Ge 0.000 0.000 0.000 x1
As 0.000 0.500 0.000 x2
C 0.500 0.500 0.500 x1
S 0.000 0.000 0.500 x1

***

Here is an optimized crystal structure of Ti3Mn2Be from Alexandria via LeMat-Bulk. Energies are from PBE-GGA.

Computed properties:
The energy of formation from the pure elements is -1.3 eV/f.u.

Unit cell a=2.994 b=2.994 c=8.770 alpha=90.00 beta=90.00 gamma=90.00
Space group P4/mmm (No. 123)
Inequivalent atoms, fractional coordinates:
Ti 0.000 0.000 0.000 x1
Ti 0.000 0.000 0.332 x2
Mn 0.500 0.500 0.173 x2
Be 0.500 0.500 0.500 x1

***

Here is an optimized crystal structure of Ni2MoPb from Alexandria via LeMat-Bulk. Energies are from PBE-GGA.

Computed properties:
The energy of formation from the pure elements is 1.5 eV/f.u.

Unit cell a=3.076 b=3.076 c=6.656 alpha=90.00 beta=90.00 gamma=90.00
Space group P4mm (No. 99)
Inequivalent atoms, fractional coordinates:
Ni 0.000 0.000 0.000 x1
Ni 0.500 0.500 0.193 x1
Mo 0.500 0.500 0.802 x1
Pb 0.000 0.000 0.465 x1

***

Here is an optimized crystal structure of SrLi4Tl2 from Alexandria via LeMat-Bulk. Energies are from PBE-GGA.

Computed properties:
The energy of formation from the pure elements is 0.3 eV/f.u.

Unit cell a=6.722 b=6.722 c=8.840 alpha=90.00 beta=90.00 gamma=90.00
Space group I4/mmm (No. 139)
Inequivalent atoms, fractional coordinates:
Sr 0.000 0.000 0.000 x2
Li 0.000 0.275 0.500 x8
Tl 0.000 0.500 0.250 x4

***

no.,theoretical density (g/cm³)
1,3.897
2,5.545
3,11.090
4,4.358